(1)
# AlAgC, relaxed, DFT PBE-GGA
data_AlAgC
_chemical_formula_sum 'Al2 Ag2 C2'
_cell_length_a 3.072
_cell_length_b 3.076
_cell_length_c 10.206
_cell_angle_alpha 90.10
_cell_angle_beta 90.01
_cell_angle_gamma 119.81
_space_group_name_H-M_alt 'P -1'
_space_group_IT_number 2
loop_
_space_group_symop_operation_xyz
'x,y,z'
'-x,-y,-z'
loop_
_atom_site_label
_atom_site_fract_x
_atom_site_fract_y
_atom_site_fract_z
Al1 0.166 0.334 0.329
Ag1 0.166 0.333 0.882
C1 0.500 0.000 0.435
# * D(E_F): 1.48 states/eV per cell
# * final energy: -30.374 eV/cell

(2)
# Ca2CuNi3As4, relaxed, DFT PBE-GGA
data_Ca2CuNi3As4
_chemical_formula_sum 'Ca2 Cu1 Ni3 As4'
_cell_length_a 4.168
_cell_length_b 4.168
_cell_length_c 9.759
_cell_angle_alpha 90.00
_cell_angle_beta 90.00
_cell_angle_gamma 90.00
_space_group_name_H-M_alt 'P -4 m 2'
_space_group_IT_number 115
loop_
_space_group_symop_operation_xyz
'x,y,z'
'y,-x,-z'
'-x,-y,z'
'-y,x,-z'
'-x,y,z'
'-y,-x,-z'
'x,-y,z'
'y,x,-z'
loop_
_atom_site_label
_atom_site_fract_x
_atom_site_fract_y
_atom_site_fract_z
Ca1 0.000 0.500 0.249
Cu1 0.500 0.500 0.000
Ni1 0.000 0.000 0.000
Ni2 0.000 0.500 0.621
As1 0.000 0.000 0.500
As2 0.000 0.500 0.863
As3 0.500 0.500 0.500
# * D(E_F): 6.16 states/eV per cell
# * final energy: -50.402 eV/cell

(3)
# Ac6Pm2Tm, relaxed, DFT PBE-GGA
data_Ac6Pm2Tm
_chemical_formula_sum 'Ac12 Pm4 Tm2'
_cell_length_a 6.716
_cell_length_b 10.201
_cell_length_c 12.696
_cell_angle_alpha 90.00
_cell_angle_beta 121.37
_cell_angle_gamma 90.00
_space_group_name_H-M_alt 'P 1 21/c 1'
_space_group_IT_number 14
loop_
_space_group_symop_operation_xyz
'x,y,z'
'-x,-y,-z'
'-x,y+1/2,-z+1/2'
'x,-y+1/2,z+1/2'
loop_
_atom_site_label
_atom_site_fract_x
_atom_site_fract_y
_atom_site_fract_z
Ac1 0.055 0.119 0.205
Ac2 0.295 0.712 0.648
Ac3 0.368 0.155 0.017
Pm1 0.150 0.067 0.637
Tm1 0.500 0.000 0.500
# * D(E_F): 29.08 states/eV per cell
# * final energy: -74.746 eV/cell

(4)
# LaPt3, relaxed, DFT PBE-GGA
data_LaPt3
_chemical_formula_sum 'La1 Pt3'
_cell_length_a 3.992
_cell_length_b 4.497
_cell_length_c 5.146
_cell_angle_alpha 90.00
_cell_angle_beta 92.77
_cell_angle_gamma 90.00
_space_group_name_H-M_alt 'P 1 2/m 1'
_space_group_IT_number 10
loop_
_space_group_symop_operation_xyz
'x,y,z'
'-x,-y,-z'
'-x,y,-z'
'x,-y,z'
loop_
_atom_site_label
_atom_site_fract_x
_atom_site_fract_y
_atom_site_fract_z
La1 0.000 0.000 0.000
Pt1 0.468 0.500 0.753
Pt2 0.500 0.000 0.500
# * D(E_F): 1.62 states/eV per cell
# * final energy: -25.971 eV/cell

Question: Which of these has the lowest final energy?
Answer: Ac6Pm2Tm